1.
A plane-wave DFT calculation with PBE was carried out for a relaxed NpPd2Se3 crystal.

a b c (Å): 5.4332 7.2950 7.2950
angles (deg): 105.03 90.00 90.00
With the nearest neighbours (Å) after each atom.
Positions (direct):
Np 0.2500 0.1818 0.8182  5 Se 2.78-3.00
Np 0.7500 0.8182 0.1818  5 Se 2.78-3.00
Pd 0.0000 0.2568 0.2568  2 Se 2.47, 2 Pd 2.72
Pd 0.5000 0.2568 0.2568  2 Se 2.47, 2 Pd 2.72
Pd 0.0000 0.7432 0.7432  2 Se 2.47, 2 Pd 2.72
Pd 0.5000 0.7432 0.7432  2 Se 2.47, 2 Pd 2.72
Se 0.7500 0.0708 0.9292  4 Pd 2.78, 3 Np 2.92-3.00
Se 0.7500 0.1395 0.4862  2 Pd 2.47
Se 0.2500 0.4862 0.1395  2 Pd 2.47
Se 0.7500 0.5138 0.8605  2 Pd 2.47
Se 0.2500 0.8605 0.5138  2 Pd 2.47
Se 0.2500 0.9292 0.0708  4 Pd 2.78, 3 Np 2.92-3.00

The value obtained for the calculated density is 8.167 g/cm³. As for the uncorrected formation energy: -40.2 kJ/mol of atoms. The size of the total moment is 3.0 μB per formula unit.



2.
A plane-wave DFT calculation with PBE was carried out for a relaxed LaVIn3 crystal.

a b c (Å): 5.9602 5.9602 5.9602
angles (deg): 90.00 90.00 90.00
With the nearest neighbours (Å) after each atom.
Positions (direct):
In 0.0000 0.5000 0.0000  2 La 2.98
In 0.0000 0.0000 0.5000  2 La 2.98
In 0.5000 0.0000 0.0000  2 La 2.98
La 0.0000 0.0000 0.0000  6 In 2.98
V 0.5000 0.5000 0.5000  12 In 4.21

The energy above the most stable polymorph in this dataset comes out at 1.3056 eV/atom. The value obtained for the calculated density is 4.190 g/cm³. The size of the total moment is 3.7 μB per formula unit.



3.
A plane-wave DFT calculation with PBE was carried out for a relaxed SiBPO2 crystal.

a b c (Å): 3.1416 3.1416 6.6504
angles (deg): 90.00 90.00 90.00
With the nearest neighbours (Å) after each atom.
Positions (direct):
P 0.0000 0.0000 0.5000  4 Si 2.22
Si 0.5000 0.5000 0.5000  4 P 2.22
B 0.0000 0.0000 0.0000  4 O 1.57
O 0.0000 0.5000 0.0000  2 B 1.57
O 0.5000 0.0000 0.0000  2 B 1.57

The energy above the most stable polymorph in this dataset comes out at 0.3401 eV/atom. The value obtained for the calculated density is 2.577 g/cm³. As for the uncorrected formation energy: -15.7 kJ/mol of atoms. The size of the total moment is 0.2 μB per formula unit.



4.
A plane-wave DFT calculation with PBE was carried out for a relaxed La8Pt3I3N crystal.

a b c (Å): 8.4409 8.4265 9.5356
angles (deg): 116.20 90.00 120.06
With the nearest neighbours (Å) after each atom.
Positions (direct):
La 0.2713 0.5426 0.3140  3 Pt 2.87
La 0.7287 0.4574 0.6860  3 Pt 2.87
La 0.7909 0.5819 0.3186  1 N 2.63
La 0.2091 0.4181 0.6814  1 N 2.63
La 0.7906 0.0286 0.3186  1 N 2.64
La 0.2094 0.9714 0.6814  1 N 2.64
La 0.2380 0.0286 0.3186  1 N 2.64
La 0.7620 0.9714 0.6814  1 N 2.64
Pt 0.5000 0.0000 0.5000  6 La 2.87-2.97
Pt 0.5000 0.5000 0.5000  6 La 2.87-2.98
Pt 0.0000 0.5000 0.5000  6 La 2.87-2.98
I 0.0000 0.0000 0.0000  6 La 3.49-3.54
I 0.0000 0.5000 0.0000  6 La 3.49-3.54
I 0.5000 0.5000 0.0000  6 La 3.49-3.54
N 0.0000 0.0000 0.5000  6 La 2.63-2.64

The value obtained for the calculated density is 6.877 g/cm³. As for the uncorrected formation energy: -101.0 kJ/mol of atoms. The size of the total moment is 0.5 μB per formula unit.



5.
A plane-wave DFT calculation with PBE was carried out for a relaxed Cs3YI crystal.

a b c (Å): 7.4504 7.4504 7.4504
angles (deg): 90.00 90.00 90.00
With the nearest neighbours (Å) after each atom.
Positions (direct):
Cs 0.0000 0.5000 0.0000  2 Y 3.73
Cs 0.0000 0.0000 0.5000  2 Y 3.73
Cs 0.5000 0.0000 0.0000  2 Y 3.73
I 0.5000 0.5000 0.5000  12 Cs 5.27
Y 0.0000 0.0000 0.0000  6 Cs 3.73

The value obtained for the calculated density is 2.467 g/cm³. As for the uncorrected formation energy: 27.7 kJ/mol of atoms. The size of the total moment is 3.0 μB per formula unit.



6.
A plane-wave DFT calculation with PBE was carried out for a relaxed Pm3HoTh4Se8 crystal.

a b c (Å): 8.2365 8.4904 8.2359
angles (deg): 119.01 120.00 90.00
With the nearest neighbours (Å) after each atom.
Positions (direct):
Pm 0.5000 0.5000 0.0000  6 Se 2.94
Pm 0.5000 0.5000 0.5000  6 Se 2.94
Pm 0.0000 0.5000 0.5000  6 Se 2.94
Ho 0.0000 0.5000 0.0000  6 Se 2.89
Th 0.5000 0.0000 0.0000  6 Se 3.03
Th 0.5000 0.0000 0.5000  6 Se 2.98
Th 0.0000 0.0000 0.0000  6 Se 2.98
Th 0.0000 0.0000 0.5000  6 Se 2.98
Se 0.2441 0.7409 0.9968  1 Ho 2.89, 2 Pm 2.94, 3 Th 2.98-3.03
Se 0.2441 0.7409 0.4882  1 Ho 2.89, 2 Pm 2.94, 3 Th 2.98-3.03
Se 0.2517 0.2551 0.5034  3 Pm 2.94, 3 Th 2.98
Se 0.7527 0.7409 0.9968  1 Ho 2.89, 2 Pm 2.94, 3 Th 2.98-3.03
Se 0.2473 0.2591 0.0032  1 Ho 2.89, 2 Pm 2.94, 3 Th 2.98-3.03
Se 0.7483 0.7449 0.4966  3 Pm 2.94, 3 Th 2.98
Se 0.7559 0.2591 0.5118  1 Ho 2.89, 2 Pm 2.94, 3 Th 2.98-3.03
Se 0.7559 0.2591 0.0032  1 Ho 2.89, 2 Pm 2.94, 3 Th 2.98-3.03

The value obtained for the calculated density is 8.679 g/cm³. As for the uncorrected formation energy: -160.9 kJ/mol of atoms. The size of the total moment is 0.0 μB per formula unit.



7.
A plane-wave DFT calculation with PBE was carried out for a relaxed DyY2Co crystal.

a b c (Å): 6.2794 6.9661 9.4530
angles (deg): 90.00 90.00 90.00
With the nearest neighbours (Å) after each atom.
Positions (direct):
Dy 0.6439 0.5446 0.2500  2 Co 2.65-2.73
Dy 0.8561 0.0446 0.2500  2 Co 2.65-2.73
Dy 0.3561 0.4554 0.7500  2 Co 2.65-2.73
Dy 0.1439 0.9554 0.7500  2 Co 2.65-2.73
Y 0.1780 0.6737 0.0682  2 Co 2.78-2.87
Y 0.3220 0.1737 0.4318  2 Co 2.78-2.87
Y 0.8220 0.3263 0.5682  2 Co 2.78-2.87
Y 0.6780 0.8263 0.9318  2 Co 2.78-2.87
Y 0.8220 0.3263 0.9318  2 Co 2.78-2.87
Y 0.6780 0.8263 0.5682  2 Co 2.78-2.87
Y 0.1780 0.6737 0.4318  2 Co 2.78-2.87
Y 0.3220 0.1737 0.0682  2 Co 2.78-2.87
Co 0.0412 0.3859 0.2500  2 Dy 2.65-2.73, 4 Y 2.78-2.87
Co 0.4588 0.8859 0.2500  2 Dy 2.65-2.73, 4 Y 2.78-2.87
Co 0.9588 0.6141 0.7500  2 Dy 2.65-2.73, 4 Y 2.78-2.87
Co 0.5412 0.1141 0.7500  2 Dy 2.65-2.73, 4 Y 2.78-2.87

The energy above the most stable polymorph in this dataset comes out at 0.0000 eV/atom. The value obtained for the calculated density is 6.413 g/cm³. The size of the total moment is 0.0 μB per formula unit.



8.
A plane-wave DFT calculation with PBE was carried out for a relaxed Tm3GaP2Ir9 crystal.

a b c (Å): 5.5751 5.5751 10.3847
angles (deg): 90.00 90.00 120.00
With the nearest neighbours (Å) after each atom.
Positions (direct):
Tm 0.3333 0.6667 0.5773  9 Ir 3.03-3.25, 3 Ga 3.32
Tm 0.0000 0.0000 0.0000  6 Ir 2.79
Tm 0.6667 0.3333 0.4227  9 Ir 3.03-3.25, 3 Ga 3.32
Ga 0.0000 0.0000 0.5000  6 Ir 2.52
P 0.3333 0.6667 0.1610  6 Ir 2.27-2.32
P 0.6667 0.3333 0.8390  6 Ir 2.27-2.32
Ir 0.8396 0.1604 0.6910  1 P 2.27, 1 Ga 2.52
Ir 0.8396 0.6793 0.6910  1 P 2.27, 1 Ga 2.52
Ir 0.3207 0.1604 0.6910  1 P 2.27, 1 Ga 2.52
Ir 0.6793 0.8396 0.3090  1 P 2.27, 1 Ga 2.52
Ir 0.1604 0.3207 0.3090  1 P 2.27, 1 Ga 2.52
Ir 0.1604 0.8396 0.3090  1 P 2.27, 1 Ga 2.52
Ir 0.5000 0.0000 0.0000  2 P 2.32
Ir 0.0000 0.5000 0.0000  2 P 2.32
Ir 0.5000 0.5000 0.0000  2 P 2.32

Its calculated total energy is -7.543 eV/atom. The value obtained for the calculated density is 14.070 g/cm³. The size of the total moment is 0.0 μB per formula unit.



Question: The highest calculated density belongs to which entry?
Answer: Tm3GaP2Ir9



Question: What is the formula in the seventh record?
Answer: DyY2Co



Question: Among the records above, which one has the highest calculated density?
Answer: Tm3GaP2Ir9